1.
The following is a DFT calculation (GGA-PBE) of crystalline Pr12SmY7 at its relaxed geometry.

```
data_Pr12SmY7
_cell_length_a 19.0310
_cell_length_b 19.0310
_cell_length_c 6.8929
_cell_angle_alpha 90.00
_cell_angle_beta 90.00
_cell_angle_gamma 120.00
_space_group_name_H-M_alt 'R -3'
_space_group_IT_number 148
_space_group_name_Hall '-R 3'
loop_
_atom_site_label
_atom_site_type_symbol
_atom_site_fract_x
_atom_site_fract_y
_atom_site_fract_z
Pr1 Pr 0.0010 0.2117 0.2864
Pr2 Pr 0.0067 0.5358 0.7421
Sm1 Sm 0.0000 0.0000 0.0000
Y1 Y 0.0000 0.0000 0.5000
Y2 Y 0.0073 0.1546 0.7760
```

## Properties
DFT formation energy, eV/atom: 0.2758
E, eV per atom: -5.090
E above lowest polymorph, kJ per mole of atoms: 12.6
Size of the total moment, μB/f.u.: 0.00

***

2.
The following is a DFT calculation (GGA-PBE) of crystalline Pr4Sm5Y2 at its relaxed geometry.

```
data_Pr4Sm5Y2
_cell_length_a 24.437
_cell_length_b 3.585
_cell_length_c 8.844
_cell_angle_alpha 90.00
_cell_angle_beta 94.41
_cell_angle_gamma 90.00
_space_group_name_H-M_alt 'C 1 2/m 1'
_space_group_IT_number 12
loop_
_space_group_symop_operation_xyz
'x,y,z'
'-x,-y,-z'
'-x,y,-z'
'x,-y,z'
'x+1/2,y+1/2,z'
'-x+1/2,-y+1/2,-z'
'-x+1/2,y+1/2,-z'
'x+1/2,-y+1/2,z'
loop_
_atom_site_label
_atom_site_type_symbol
_atom_site_fract_x
_atom_site_fract_y
_atom_site_fract_z
Pr1 Pr 0.041 0.000 0.345
Pr2 Pr 0.226 0.500 0.826
Sm1 Sm 0.000 0.500 0.000
Sm2 Sm 0.130 0.000 0.046
Sm3 Sm 0.185 0.000 0.474
Y1 Y 0.087 0.500 0.698
```

## Properties
DFT formation energy, eV/atom: 0.0979
E, eV per atom: -4.960
E above lowest polymorph, kJ per mole of atoms: 0.0
Size of the total moment, μB/f.u.: 0.00

***

3.
The following is a DFT calculation (GGA-PBE) of crystalline Pr3Sm2Y at its relaxed geometry.

```
data_Pr3Sm2Y
_cell_length_a 8.662
_cell_length_b 3.760
_cell_length_c 12.955
_cell_angle_alpha 90.00
_cell_angle_beta 90.05
_cell_angle_gamma 90.00
_space_group_name_H-M_alt 'P 1 21/m 1'
_space_group_IT_number 11
loop_
_space_group_symop_operation_xyz
'x,y,z'
'-x,-y,-z'
'-x,y+1/2,-z'
'x,-y+1/2,z'
loop_
_atom_site_label
_atom_site_type_symbol
_atom_site_fract_x
_atom_site_fract_y
_atom_site_fract_z
Pr1 Pr 0.088 0.250 0.390
Pr2 Pr 0.346 0.750 0.946
Pr3 Pr 0.395 0.750 0.252
Sm1 Sm 0.083 0.250 0.109
Sm2 Sm 0.351 0.750 0.551
Y1 Y 0.190 0.250 0.748
```

## Properties
DFT formation energy, eV/atom: 0.0520
E, eV per atom: -4.988
E above lowest polymorph, kJ per mole of atoms: 0.0
Size of the total moment, μB/f.u.: 0.00

***

4.
The following is a DFT calculation (GGA-PBE) of crystalline Pr2Sm3Y6 at its relaxed geometry.

```
data_Pr2Sm3Y6
_cell_length_a 6.202
_cell_length_b 10.761
_cell_length_c 11.789
_cell_angle_alpha 90.00
_cell_angle_beta 100.16
_cell_angle_gamma 90.00
_space_group_name_H-M_alt 'C 1 2/m 1'
_space_group_IT_number 12
loop_
_space_group_symop_operation_xyz
'x,y,z'
'-x,-y,-z'
'-x,y,-z'
'x,-y,z'
'x+1/2,y+1/2,z'
'-x+1/2,-y+1/2,-z'
'-x+1/2,y+1/2,-z'
'x+1/2,-y+1/2,z'
loop_
_atom_site_label
_atom_site_type_symbol
_atom_site_fract_x
_atom_site_fract_y
_atom_site_fract_z
Pr1 Pr 0.000 0.167 0.000
Sm1 Sm 0.000 0.000 0.500
Sm2 Sm 0.000 0.336 0.500
Y1 Y 0.249 0.500 0.749
Y2 Y 0.250 0.166 0.749
```

## Properties
DFT formation energy, eV/atom: 0.1808
E, eV per atom: -5.501
E above lowest polymorph, kJ per mole of atoms: 0.0
Size of the total moment, μB/f.u.: 0.00

***

5.
The following is a DFT calculation (GGA-PBE) of crystalline Pr2SmY at its relaxed geometry.

```
data_Pr2SmY
_cell_length_a 3.5692
_cell_length_b 3.5692
_cell_length_c 38.1087
_cell_angle_alpha 90.00
_cell_angle_beta 90.00
_cell_angle_gamma 120.00
_space_group_name_H-M_alt 'R -3 m'
_space_group_IT_number 166
_space_group_name_Hall '-R 3 2"'
loop_
_atom_site_label
_atom_site_type_symbol
_atom_site_fract_x
_atom_site_fract_y
_atom_site_fract_z
Pr1 Pr 0.0000 0.0000 0.0883
Sm1 Sm 0.0000 0.0000 0.5000
Y1 Y 0.0000 0.0000 0.0000
```

## Properties
DFT formation energy, eV/atom: 0.1752
E, eV per atom: -5.010
E above lowest polymorph, kJ per mole of atoms: 15.5
Size of the total moment, μB/f.u.: 0.01

***

6.
The following is a DFT calculation (GGA-PBE) of crystalline PrSm6Y4 at its relaxed geometry.

```
data_PrSm6Y4
_cell_length_a 6.582
_cell_length_b 6.582
_cell_length_c 17.551
_cell_angle_alpha 90.00
_cell_angle_beta 90.00
_cell_angle_gamma 90.00
_space_group_name_H-M_alt 'I -4 2 m'
_space_group_IT_number 121
_space_group_name_Hall 'I -4 2'
loop_
_atom_site_label
_atom_site_type_symbol
_atom_site_fract_x
_atom_site_fract_y
_atom_site_fract_z
Pr1 Pr 0.000 0.000 0.000
Sm1 Sm 0.000 0.500 0.000
Sm2 Sm 0.178 0.178 0.632
Y1 Y 0.187 0.187 0.822
```

## Properties
DFT formation energy, eV/atom: 0.2955
E, eV per atom: -5.064
E above lowest polymorph, kJ per mole of atoms: 0.0
Size of the total moment, μB/f.u.: 0.00

***

7.
The following is a DFT calculation (GGA-PBE) of crystalline Pr4Sm4Y at its relaxed geometry.

```
data_Pr4Sm4Y
_cell_length_a 10.987
_cell_length_b 10.987
_cell_length_c 5.175
_cell_angle_alpha 90.00
_cell_angle_beta 90.00
_cell_angle_gamma 90.00
_space_group_name_H-M_alt 'I 4/m m m'
_space_group_IT_number 139
_space_group_name_Hall '-I 4 2'
loop_
_atom_site_label
_atom_site_type_symbol
_atom_site_fract_x
_atom_site_fract_y
_atom_site_fract_z
Pr1 Pr 0.167 0.167 0.000
Sm1 Sm 0.000 0.334 0.500
Y1 Y 0.000 0.000 0.500
```

## Properties
DFT formation energy, eV/atom: 0.0127
E, eV per atom: -4.927
E above lowest polymorph, kJ per mole of atoms: 0.0
Size of the total moment, μB/f.u.: 0.00

***

8.
The following is a DFT calculation (GGA-PBE) of crystalline Pr2Sm7Y4 at its relaxed geometry.

```
data_Pr2Sm7Y4
_cell_length_a 6.400
_cell_length_b 6.518
_cell_length_c 12.063
_cell_angle_alpha 88.90
_cell_angle_beta 79.11
_cell_angle_gamma 64.90
_space_group_name_H-M_alt 'P -1'
_space_group_IT_number 2
loop_
_space_group_symop_operation_xyz
'x,y,z'
'-x,-y,-z'
loop_
_atom_site_label
_atom_site_type_symbol
_atom_site_fract_x
_atom_site_fract_y
_atom_site_fract_z
Pr1 Pr 0.083 0.204 0.016
Sm1 Sm 0.012 0.567 0.243
Sm2 Sm 0.166 0.865 0.697
Sm3 Sm 0.444 0.988 0.191
Sm4 Sm 0.500 0.500 0.000
Y1 Y 0.227 0.214 0.476
Y2 Y 0.368 0.657 0.397
```

## Properties
DFT formation energy, eV/atom: 0.1354
E, eV per atom: -5.130
Size of the total moment, μB/f.u.: 0.00